1.
! PBE FePtN2, relaxed; values from VASP
! **Relative energy among the computed polymorphs**: 1203.9 meV/atom
! **Symmetry**: No. 225
! **DOS(E_F)**: 4.84 states/eV/cell
! **Energy relative to the elements, uncorrected**: 1448 meV/atom
&SYSTEM
  ibrav = 0, nat = 4, ntyp = 3
/
ATOMIC_SPECIES
Fe 55.84 Fe.upf
Pt 195.08 Pt.upf
N 14.01 N.upf
ATOMIC_POSITIONS crystal
Fe 0.000 0.000 0.000
Pt 0.500 0.500 0.500
N 0.250 0.250 0.250
N 0.750 0.750 0.750
CELL_PARAMETERS angstrom
0.000 2.671 2.671
2.671 0.000 2.671
2.671 2.671 0.000

2.
! PBE FePtN2, relaxed; values from VASP
! **Relative energy among the computed polymorphs**: 194.0 meV/atom
! **Symmetry**: No. 122
! **DOS(E_F)**: 6.37 states/eV/cell
! **Energy relative to the elements, uncorrected**: 438 meV/atom
&SYSTEM
  ibrav = 0, nat = 8, ntyp = 3
/
ATOMIC_SPECIES
Fe 55.84 Fe.upf
Pt 195.08 Pt.upf
N 14.01 N.upf
ATOMIC_POSITIONS crystal
Fe 0.000 0.000 0.000
Fe 0.750 0.250 0.500
Pt 0.250 0.750 0.500
Pt 0.500 0.500 0.000
N 0.073 0.625 0.948
N 0.375 0.323 0.448
N 0.677 0.125 0.052
N 0.875 0.927 0.552
CELL_PARAMETERS angstrom
-2.306 2.306 4.268
2.306 -2.306 4.268
2.306 2.306 -4.268